Entry 1:
Pm5Nd2Tm2: optimized geometry, PBE.

Calculated total energy = -0.3435 Ry/atom
ΔH_f (0 K) = 0.018 eV/atom

abc: 5.1189 9.5847 8.0997
angles: 126.31 89.98 105.47
Positions (direct):
Pm: 0.4426 0.8847 0.2191
Pm: 0.5574 0.1153 0.7809
Pm: 0.1124 0.2246 0.5605
Pm: 0.8876 0.7754 0.4395
Pm: 0.0000 0.0000 0.0000
Nd: 0.3335 0.6672 0.6654
Nd: 0.6665 0.3328 0.3346
Tm: 0.2224 0.4447 0.1095
Tm: 0.7776 0.5553 0.8905



Entry 2:
Sr2HPdRh: optimized geometry, PBE.

Calculated total energy = -0.3151 Ry/atom

abc: 5.3889 5.3889 3.5430
angles: 90.00 90.00 90.00
Positions (direct):
Sr: 0.0000 0.5000 0.0000
Sr: 0.5000 0.0000 0.0000
Rh: 0.0000 0.0000 0.5000
Pd: 0.5000 0.5000 0.5000
H: 0.0000 0.0000 0.0000